Below is a PBEsol-optimized structure of Ag3RuO4, with properties calculated at the meta-GGA SCAN level.

abc: 7.531 7.531 7.559
angles: 90.00 90.00 90.00
Space group P4_122 (No. 91)
Unique sites:
Ag1 0.000 0.195 0.000 (multiplicity 4)
Ag2 0.000 0.195 0.500 (multiplicity 4)
Ag3 0.182 0.500 0.250 (multiplicity 4)
Ru1 0.273 0.500 0.750 (multiplicity 4)
O1 0.088 0.330 0.733 (multiplicity 8)
O2 0.311 0.454 0.996 (multiplicity 8)

As for the energy relative to the elements, uncorrected: -0.470 eV per atom. The volume is 13.4 Å³ per atom. The total magnetization is 0.00 μB/atom. The value obtained for the total energy is -19.70 eV per atom. As for the density of states at the Fermi level: 0.477 states/eV per atom.